Entry 1:
Density functional theory data (meta-GGA SCAN) for a PBEsol-optimized structure of CaPPt3.

The relative energy among the computed polymorphs comes out at 386 meV/atom. For the energy of formation, the calculation gives -0.600 eV/atom. The magnetization is 0.000 μB/f.u.

The structure belongs to space group Pm-3m (No. 221); the cell edges are 4.5396, 4.5396 and 4.5396 Å and the angles 90.00°, 90.00° and 90.00°. The asymmetric unit holds Ca at (0.0000, 0.0000, 0.0000), P at (0.5000, 0.5000, 0.5000) and Pt at (0.0000, 0.5000, 0.5000).

---

Entry 2:
Density functional theory data (meta-GGA SCAN) for a PBEsol-optimized structure of Zr2InNi.

For the energy of formation, the calculation gives -0.248 eV/atom. The magnetization is 0.000 μB/f.u.

The structure belongs to space group I4/mmm (No. 139); the cell edges are 4.1954, 4.1954 and 8.3697 Å and the angles 90.00°, 90.00° and 90.00°. The asymmetric unit holds Zr at (0.0000, 0.5000, 0.2500), In at (0.0000, 0.0000, 0.0000) and Ni at (0.0000, 0.0000, 0.5000).

---

Entry 3:
Density functional theory data (meta-GGA SCAN) for a PBEsol-optimized structure of Mn3SN.

As for the energy relative to the elements, uncorrected: 0.8989 eV/atom. The magnetization is 12.434 μB/f.u.

The structure belongs to space group Pm-3m (No. 221); the cell edges are 4.1745, 4.1745 and 4.1745 Å and the angles 90.00°, 90.00° and 90.00°. The asymmetric unit holds Mn at (0.0000, 0.0000, 0.5000), S at (0.0000, 0.0000, 0.0000) and N at (0.5000, 0.5000, 0.5000).

---

Entry 4:
Density functional theory data (meta-GGA SCAN) for a PBEsol-optimized structure of Ta2FeHg.

For the energy of formation, the calculation gives 0.207 eV/atom. The magnetization is 2.217 μB/f.u.

The structure belongs to space group I4/mmm (No. 139); the cell edges are 3.9951, 3.9951 and 8.0830 Å and the angles 90.00°, 90.00° and 90.00°. The asymmetric unit holds Ta at (0.0000, 0.5000, 0.2500), Fe at (0.0000, 0.0000, 0.0000) and Hg at (0.0000, 0.0000, 0.5000).

---

Entry 5:
Density functional theory data (meta-GGA SCAN) for a PBEsol-optimized structure of YHf2AlHg.

For the energy of formation, the calculation gives 1.495 eV/atom. The magnetization is 0.000 μB/f.u.

The structure belongs to space group P4/mmm (No. 123); the cell edges are 5.0709, 5.0709 and 5.2025 Å and the angles 90.00°, 90.00° and 90.00°. The asymmetric unit holds Y at (0.0000, 0.0000, 0.0000), Hf at (0.0000, 0.5000, 0.0000), Al at (0.0000, 0.0000, 0.5000) and Hg at (0.5000, 0.5000, 0.5000).

---

Entry 6:
Density functional theory data (meta-GGA SCAN) for a PBEsol-optimized structure of Ti2AgB.

For the energy of formation, the calculation gives 0.239 eV/atom. The magnetization is 0.000 μB/f.u.

The structure belongs to space group I-42d (No. 122); the cell edges are 6.7005, 6.7005 and 5.2012 Å and the angles 90.00°, 90.00° and 90.00°. The asymmetric unit holds Ti at (0.1850, 0.2500, 0.1250), Ag at (0.0000, 0.0000, 0.5000) and B at (0.0000, 0.0000, 0.0000).

---

Entry 7:
Density functional theory data (meta-GGA SCAN) for a PBEsol-optimized structure of Mg2Ir.

For the energy of formation, the calculation gives -0.172 eV/atom. The magnetization is 0.017 μB/f.u.

The structure belongs to space group P-3m1 (No. 164); the cell edges are 2.9285, 2.9285 and 6.8518 Å and the angles 90.00°, 90.00° and 120.00°. The asymmetric unit holds Mg at (0.3333, 0.6667, 0.1978) and Ir at (0.0000, 0.0000, 0.5000).

---

Entry 8:
Density functional theory data (meta-GGA SCAN) for a PBEsol-optimized structure of CaAu3.

For the energy of formation, the calculation gives -0.638 eV/atom. The magnetization is 0.000 μB/f.u.

The structure belongs to space group Pm-3n (No. 223); the cell edges are 5.3770, 5.3770 and 5.3770 Å and the angles 90.00°, 90.00° and 90.00°. The asymmetric unit holds Ca at (0.0000, 0.0000, 0.0000) and Au at (0.0000, 0.2500, 0.5000).